Record 1
# LuFeAgSb | the Open Quantum Materials Database | GGA-PBE | optimized geometry
# E above lowest polymorph	22	meV/atom
# calculated density	10.1	g/cm3
# crystal system	cubic
data_LuFeAgSb
_chemical_formula_sum 'Lu1 Fe1 Ag1 Sb1'
_cell_length_a 4.7510
_cell_length_b 4.7510
_cell_length_c 4.7510
_cell_angle_alpha 60.00
_cell_angle_beta 60.00
_cell_angle_gamma 60.00
_symmetry_space_group_name_H-M 'P 1'
_symmetry_Int_Tables_number 1
loop_
_symmetry_equiv_pos_as_xyz
'x,y,z'
loop_
_atom_site_label
_atom_site_fract_x
_atom_site_fract_y
_atom_site_fract_z
Lu1 0.0000 0.0000 0.0000
Fe1 0.7500 0.7500 0.7500
Ag1 0.2500 0.2500 0.2500
Sb1 0.5000 0.5000 0.5000

Record 2
# LuFeAgSb | the Open Quantum Materials Database | GGA-PBE | optimized geometry
# E above lowest polymorph	0	meV/atom
# calculated density	9.6	g/cm3
# crystal system	cubic
data_LuFeAgSb
_chemical_formula_sum 'Lu1 Fe1 Ag1 Sb1'
_cell_length_a 4.8351
_cell_length_b 4.8351
_cell_length_c 4.8351
_cell_angle_alpha 60.00
_cell_angle_beta 60.00
_cell_angle_gamma 60.00
_symmetry_space_group_name_H-M 'P 1'
_symmetry_Int_Tables_number 1
loop_
_symmetry_equiv_pos_as_xyz
'x,y,z'
loop_
_atom_site_label
_atom_site_fract_x
_atom_site_fract_y
_atom_site_fract_z
Lu1 0.0000 0.0000 0.0000
Fe1 0.5000 0.5000 0.5000
Ag1 0.7500 0.7500 0.7500
Sb1 0.2500 0.2500 0.2500

Record 3
# MgFeReAg | the Open Quantum Materials Database | GGA-PBE | optimized geometry
# E above lowest polymorph	0	meV/atom
# calculated density	10.8	g/cm3
# crystal system	cubic
data_MgFeReAg
_chemical_formula_sum 'Mg1 Fe1 Re1 Ag1'
_cell_length_a 4.3278
_cell_length_b 4.3278
_cell_length_c 4.3278
_cell_angle_alpha 60.00
_cell_angle_beta 60.00
_cell_angle_gamma 60.00
_symmetry_space_group_name_H-M 'P 1'
_symmetry_Int_Tables_number 1
loop_
_symmetry_equiv_pos_as_xyz
'x,y,z'
loop_
_atom_site_label
_atom_site_fract_x
_atom_site_fract_y
_atom_site_fract_z
Mg1 0.0000 0.0000 0.0000
Fe1 0.5000 0.5000 0.5000
Re1 0.2500 0.2500 0.2500
Ag1 0.7500 0.7500 0.7500

Record 4
# MgFeAgS3 | the Open Quantum Materials Database | GGA-PBE | optimized geometry
# calculated density	4.4	g/cm3
# final energy	-4.53	eV/atom
# crystal system	orthorhombic
data_MgFeAgS3
_chemical_formula_sum 'Mg2 Fe2 Ag2 S6'
_cell_length_a 6.6752
_cell_length_b 6.6752
_cell_length_c 9.7726
_cell_angle_alpha 90.00
_cell_angle_beta 90.00
_cell_angle_gamma 150.22
_symmetry_space_group_name_H-M 'P 1'
_symmetry_Int_Tables_number 1
loop_
_symmetry_equiv_pos_as_xyz
'x,y,z'
loop_
_atom_site_label
_atom_site_fract_x
_atom_site_fract_y
_atom_site_fract_z
Mg1 0.1661 0.8339 0.7500
Mg2 0.8339 0.1661 0.2500
Fe1 0.5000 0.5000 0.0000
Fe2 0.5000 0.5000 0.5000
Ag1 0.1518 0.8482 0.2500
Ag2 0.8482 0.1518 0.7500
S1 0.1233 0.8767 0.0090
S2 0.1233 0.8767 0.4910
S3 0.4682 0.5318 0.2500
S4 0.5318 0.4682 0.7500
S5 0.8767 0.1233 0.5090
S6 0.8767 0.1233 0.9910

Record 5
# MgFeAgSb | the Open Quantum Materials Database | GGA-PBE | optimized geometry
# E above lowest polymorph	0	meV/atom
# calculated density	7.1	g/cm3
# crystal system	cubic
data_MgFeAgSb
_chemical_formula_sum 'Mg1 Fe1 Ag1 Sb1'
_cell_length_a 4.6792
_cell_length_b 4.6792
_cell_length_c 4.6792
_cell_angle_alpha 60.00
_cell_angle_beta 60.00
_cell_angle_gamma 60.00
_symmetry_space_group_name_H-M 'P 1'
_symmetry_Int_Tables_number 1
loop_
_symmetry_equiv_pos_as_xyz
'x,y,z'
loop_
_atom_site_label
_atom_site_fract_x
_atom_site_fract_y
_atom_site_fract_z
Mg1 0.0000 0.0000 0.0000
Fe1 0.5000 0.5000 0.5000
Ag1 0.7500 0.7500 0.7500
Sb1 0.2500 0.2500 0.2500

Record 6
# MgFeAgSe3 | the Open Quantum Materials Database | GGA-PBE | optimized geometry
# calculated density	5.7	g/cm3
# final energy	-4.14	eV/atom
# crystal system	orthorhombic
data_MgFeAgSe3
_chemical_formula_sum 'Mg2 Fe2 Ag2 Se6'
_cell_length_a 6.8776
_cell_length_b 6.8776
_cell_length_c 10.4032
_cell_angle_alpha 90.00
_cell_angle_beta 90.00
_cell_angle_gamma 149.54
_symmetry_space_group_name_H-M 'P 1'
_symmetry_Int_Tables_number 1
loop_
_symmetry_equiv_pos_as_xyz
'x,y,z'
loop_
_atom_site_label
_atom_site_fract_x
_atom_site_fract_y
_atom_site_fract_z
Mg1 0.1749 0.8251 0.7500
Mg2 0.8251 0.1749 0.2500
Fe1 0.5000 0.5000 0.0000
Fe2 0.5000 0.5000 0.5000
Ag1 0.1515 0.8485 0.2500
Ag2 0.8485 0.1515 0.7500
Se1 0.1292 0.8708 0.0097
Se2 0.1292 0.8708 0.4903
Se3 0.4656 0.5344 0.2500
Se4 0.5344 0.4656 0.7500
Se5 0.8708 0.1292 0.5097
Se6 0.8708 0.1292 0.9903

Record 7
# MgFeSiAg | the Open Quantum Materials Database | GGA-PBE | optimized geometry
# E above lowest polymorph	0	meV/atom
# calculated density	6.2	g/cm3
# crystal system	cubic
data_MgFeSiAg
_chemical_formula_sum 'Mg1 Fe1 Si1 Ag1'
_cell_length_a 4.3443
_cell_length_b 4.3443
_cell_length_c 4.3443
_cell_angle_alpha 60.00
_cell_angle_beta 60.00
_cell_angle_gamma 60.00
_symmetry_space_group_name_H-M 'P 1'
_symmetry_Int_Tables_number 1
loop_
_symmetry_equiv_pos_as_xyz
'x,y,z'
loop_
_atom_site_label
_atom_site_fract_x
_atom_site_fract_y
_atom_site_fract_z
Mg1 0.0000 0.0000 0.0000
Fe1 0.7500 0.7500 0.7500
Si1 0.5000 0.5000 0.5000
Ag1 0.2500 0.2500 0.2500

Record 8
# MgFeAgSn | the Open Quantum Materials Database | GGA-PBE | optimized geometry
# E above lowest polymorph	0	meV/atom
# calculated density	7.2	g/cm3
# crystal system	cubic
data_MgFeAgSn
_chemical_formula_sum 'Mg1 Fe1 Ag1 Sn1'
_cell_length_a 4.6340
_cell_length_b 4.6340
_cell_length_c 4.6340
_cell_angle_alpha 60.00
_cell_angle_beta 60.00
_cell_angle_gamma 60.00
_symmetry_space_group_name_H-M 'P 1'
_symmetry_Int_Tables_number 1
loop_
_symmetry_equiv_pos_as_xyz
'x,y,z'
loop_
_atom_site_label
_atom_site_fract_x
_atom_site_fract_y
_atom_site_fract_z
Mg1 0.0000 0.0000 0.0000
Fe1 0.7500 0.7500 0.7500
Ag1 0.2500 0.2500 0.2500
Sn1 0.5000 0.5000 0.5000

Record 9
# MgFeTcAg | the Open Quantum Materials Database | GGA-PBE | optimized geometry
# E above lowest polymorph	0	meV/atom
# calculated density	7.8	g/cm3
# crystal system	cubic
data_MgFeTcAg
_chemical_formula_sum 'Mg1 Fe1 Tc1 Ag1'
_cell_length_a 4.4122
_cell_length_b 4.4122
_cell_length_c 4.4122
_cell_angle_alpha 60.00
_cell_angle_beta 60.00
_cell_angle_gamma 60.00
_symmetry_space_group_name_H-M 'P 1'
_symmetry_Int_Tables_number 1
loop_
_symmetry_equiv_pos_as_xyz
'x,y,z'
loop_
_atom_site_label
_atom_site_fract_x
_atom_site_fract_y
_atom_site_fract_z
Mg1 0.0000 0.0000 0.0000
Fe1 0.5000 0.5000 0.5000
Tc1 0.2500 0.2500 0.2500
Ag1 0.7500 0.7500 0.7500

Record 10
# MgFeAgTe3 | the Open Quantum Materials Database | GGA-PBE | optimized geometry
# calculated density	6.5	g/cm3
# final energy	-3.77	eV/atom
# crystal system	orthorhombic
data_MgFeAgTe3
_chemical_formula_sum 'Mg2 Fe2 Ag2 Te6'
_cell_length_a 7.3479
_cell_length_b 7.3479
_cell_length_c 11.1140
_cell_angle_alpha 90.00
_cell_angle_beta 90.00
_cell_angle_gamma 150.84
_symmetry_space_group_name_H-M 'P 1'
_symmetry_Int_Tables_number 1
loop_
_symmetry_equiv_pos_as_xyz
'x,y,z'
loop_
_atom_site_label
_atom_site_fract_x
_atom_site_fract_y
_atom_site_fract_z
Mg1 0.1963 0.8037 0.7500
Mg2 0.8037 0.1963 0.2500
Fe1 0.5000 0.5000 0.0000
Fe2 0.5000 0.5000 0.5000
Ag1 0.1494 0.8506 0.2500
Ag2 0.8506 0.1494 0.7500
Te1 0.1307 0.8693 0.0075
Te2 0.1307 0.8693 0.4925
Te3 0.4664 0.5336 0.2500
Te4 0.5336 0.4664 0.7500
Te5 0.8693 0.1307 0.5075
Te6 0.8693 0.1307 0.9925

Record 11
# MgZnFeAg | the Open Quantum Materials Database | GGA-PBE | optimized geometry
# calculated density	6.8	g/cm3
# final energy	-3.36	eV/atom
# crystal system	cubic
data_MgZnFeAg
_chemical_formula_sum 'Mg1 Zn1 Fe1 Ag1'
_cell_length_a 4.4506
_cell_length_b 4.4506
_cell_length_c 4.4506
_cell_angle_alpha 60.00
_cell_angle_beta 60.00
_cell_angle_gamma 60.00
_symmetry_space_group_name_H-M 'P 1'
_symmetry_Int_Tables_number 1
loop_
_symmetry_equiv_pos_as_xyz
'x,y,z'
loop_
_atom_site_label
_atom_site_fract_x
_atom_site_fract_y
_atom_site_fract_z
Mg1 0.0000 0.0000 0.0000
Zn1 0.5000 0.5000 0.5000
Fe1 0.7500 0.7500 0.7500
Ag1 0.2500 0.2500 0.2500

Record 12
# FeAgMoPb | the Open Quantum Materials Database | GGA-PBE | optimized geometry
# E above lowest polymorph	0	meV/atom
# calculated density	11.1	g/cm3
# crystal system	cubic
data_FeAgMoPb
_chemical_formula_sum 'Fe1 Ag1 Mo1 Pb1'
_cell_length_a 4.6278
_cell_length_b 4.6278
_cell_length_c 4.6278
_cell_angle_alpha 60.00
_cell_angle_beta 60.00
_cell_angle_gamma 60.00
_symmetry_space_group_name_H-M 'P 1'
_symmetry_Int_Tables_number 1
loop_
_symmetry_equiv_pos_as_xyz
'x,y,z'
loop_
_atom_site_label
_atom_site_fract_x
_atom_site_fract_y
_atom_site_fract_z
Fe1 0.0000 0.0000 0.0000
Ag1 0.2500 0.2500 0.2500
Mo1 0.5000 0.5000 0.5000
Pb1 0.7500 0.7500 0.7500

What did the tenth record say?
# MgFeAgTe3 | the Open Quantum Materials Database | GGA-PBE | optimized geometry
# calculated density	6.5	g/cm3
# final energy	-3.77	eV/atom
# crystal system	orthorhombic
data_MgFeAgTe3
_chemical_formula_sum 'Mg2 Fe2 Ag2 Te6'
_cell_length_a 7.3479
_cell_length_b 7.3479
_cell_length_c 11.1140
_cell_angle_alpha 90.00
_cell_angle_beta 90.00
_cell_angle_gamma 150.84
_symmetry_space_group_name_H-M 'P 1'
_symmetry_Int_Tables_number 1
loop_
_symmetry_equiv_pos_as_xyz
'x,y,z'
loop_
_atom_site_label
_atom_site_fract_x
_atom_site_fract_y
_atom_site_fract_z
Mg1 0.1963 0.8037 0.7500
Mg2 0.8037 0.1963 0.2500
Fe1 0.5000 0.5000 0.0000
Fe2 0.5000 0.5000 0.5000
Ag1 0.1494 0.8506 0.2500
Ag2 0.8506 0.1494 0.7500
Te1 0.1307 0.8693 0.0075
Te2 0.1307 0.8693 0.4925
Te3 0.4664 0.5336 0.2500
Te4 0.5336 0.4664 0.7500
Te5 0.8693 0.1307 0.5075
Te6 0.8693 0.1307 0.9925